Record 1
Mg2TcB2, relaxed, DFT PBE; final energy = -4.89 eV/atom; calculated formation energy = 0.49 eV per atom
1.0
3.506 0.000 0.000
0.000 3.506 0.000
1.753 1.753 4.841
Mg B Tc
2 2 1
direct
0.750 0.250 0.500
0.250 0.750 0.500
0.417 0.417 0.166
0.583 0.583 0.834
0.000 0.000 0.000

Record 2
Mg2TcB2, relaxed, DFT PBE; final energy = -5.18 eV/atom; calculated formation energy = 0.20 eV per atom
1.0
-0.195 4.455 3.722
-4.325 -2.595 2.880
2.422 -1.673 2.130
Mg B Tc
4 4 2
direct
0.186 0.686 0.500
0.686 0.814 0.500
0.814 0.314 0.500
0.314 0.186 0.500
0.396 0.896 0.000
0.896 0.604 0.000
0.604 0.104 0.000
0.104 0.396 0.000
0.000 0.000 0.000
0.500 0.500 0.000

Record 3
MgVTcB2, relaxed, DFT PBE; final energy = -5.34 eV/atom; calculated formation energy = 1.55 eV per atom
1.0
-0.848 1.470 -3.541
-2.204 -3.923 -1.101
-3.348 1.484 1.417
Mg B Tc V
1 2 1 1
direct
0.000 0.500 0.000
0.000 0.000 0.500
0.500 0.000 0.000
0.500 0.500 0.500
0.000 0.000 0.000

Record 4
Mg2BTe, relaxed, DFT PBE; final energy = -2.89 eV/atom; uncorrected formation energy = 365 meV/atom
1.0
-4.321 -5.818 1.001
5.740 -3.851 2.398
0.135 -3.919 4.543
Mg Te B
4 2 2
direct
0.552 0.125 0.250
0.198 0.625 0.250
0.375 0.448 0.750
0.875 0.802 0.750
0.000 0.000 0.000
0.750 0.250 0.500
0.500 0.500 0.000
0.250 0.750 0.500

Record 5
MgB2Te, relaxed, DFT PBE; final energy = -3.16 eV/atom; uncorrected formation energy = 1364 meV/atom
1.0
2.759 -2.858 1.900
-1.593 -3.444 2.234
0.423 -4.069 -1.631
Mg Te B
1 1 2
direct
0.000 0.000 0.000
0.500 0.500 0.500
0.250 0.250 0.250
0.750 0.750 0.750

Record 6
MgBTe2, relaxed, DFT PBE; final energy = -2.89 eV/atom; uncorrected formation energy = 751 meV/atom
1.0
0.000 3.553 3.553
3.553 0.000 3.553
3.553 3.553 0.000
Mg Te B
1 2 1
direct
0.500 0.500 0.500
0.250 0.250 0.250
0.750 0.750 0.750
0.000 0.000 0.000

Record 7
MgB2Te, relaxed, DFT PBE; final energy = -3.51 eV/atom; uncorrected formation energy = 1013 meV/atom
1.0
-1.110 -1.950 5.158
1.183 -5.223 -1.720
4.615 -2.953 2.944
Mg Te B
2 2 4
direct
0.500 0.500 0.000
0.250 0.750 0.500
0.000 0.000 0.000
0.750 0.250 0.500
0.642 0.125 0.250
0.108 0.625 0.250
0.375 0.358 0.750
0.875 0.892 0.750

Record 8
Mg2BTe, relaxed, DFT PBE; final energy = -2.64 eV/atom; uncorrected formation energy = 612 meV/atom
1.0
3.844 2.771 0.795
-0.237 3.575 3.202
2.386 -0.336 4.157
Mg Te B
2 1 1
direct
0.250 0.250 0.250
0.750 0.750 0.750
0.500 0.500 0.500
0.000 0.000 0.000

Record 9
MgBTe2, relaxed, DFT PBE; final energy = -3.33 eV/atom; uncorrected formation energy = 312 meV/atom
1.0
2.606 0.000 7.154
-1.303 2.257 7.154
-1.303 -2.257 7.154
Mg Te B
1 2 1
direct
0.500 0.500 0.500
0.904 0.904 0.904
0.096 0.096 0.096
0.000 0.000 0.000

Record 10
MgBTe2, relaxed, DFT PBE; final energy = -3.43 eV/atom; uncorrected formation energy = 208 meV/atom
1.0
6.016 0.000 0.000
0.000 6.016 0.000
3.008 3.008 6.086
Mg Te B
2 4 2
direct
0.000 0.000 0.000
0.750 0.250 0.500
0.564 0.125 0.250
0.186 0.625 0.250
0.375 0.436 0.750
0.875 0.814 0.750
0.500 0.500 0.000
0.250 0.750 0.500

Record 11
MgB3Te, relaxed, DFT PBE; final energy = -2.93 eV/atom; uncorrected formation energy = 2020 meV/atom
1.0
-2.237 -2.810 2.685
3.461 -0.030 2.852
-1.769 3.495 2.184
Mg Te B
1 1 3
direct
0.500 0.500 0.500
0.000 0.000 0.000
0.000 0.500 0.000
0.000 0.000 0.500
0.500 0.000 0.000

Record 12
MgB3Te, relaxed, DFT PBE; final energy = -2.83 eV/atom; uncorrected formation energy = 2126 meV/atom
1.0
4.453 0.000 0.000
0.000 4.453 0.000
0.000 0.000 4.453
Mg Te B
1 1 3
direct
0.000 0.000 0.000
0.500 0.500 0.500
0.000 0.500 0.000
0.000 0.000 0.500
0.500 0.000 0.000

Record 13
MgB2TeW, relaxed, DFT PBE; final energy = -3.95 eV/atom; uncorrected formation energy = 2256 meV/atom
1.0
-1.117 -3.415 2.166
4.996 -0.849 1.238
-0.458 2.340 3.453
Mg Te B W
1 1 2 1
direct
0.000 0.000 0.000
0.500 0.500 0.500
0.000 0.000 0.500
0.500 0.000 0.000
0.000 0.500 0.000